No. 1
A plane-wave DFT calculation with GGA-PBE was carried out for a relaxed TaCoRu crystal.

Output
energy of formation: 0.291 eV/atom
ρ: 11.82 g/cm³
uncorrected energy: -27.4 eV/cell
spin magnetization: 1.15 μB per formula unit

Lattice parameters (Å, degrees): 4.076 4.076 4.076 60.00 60.00 60.00
Last column: magnetic moment on the atom in μB.
Fractional positions:
Ta  0.500  0.500  0.500  -0.18
Ru  0.000  0.000  0.000  0.44
Co  0.750  0.750  0.750  0.91

No. 2
A plane-wave DFT calculation with GGA-PBE was carried out for a relaxed TaCoRu2 crystal.

Output
energy of formation: -0.144 eV/atom
ρ: 13.07 g/cm³
uncorrected energy: -38.1 eV/cell
spin magnetization: 0.00 μB per formula unit

Lattice parameters (Å, degrees): 4.693 4.693 4.694 131.89 131.89 70.36
Fractional positions:
Ru  0.000  0.000  0.000
Ru  0.250  0.750  0.500
Ta  0.500  0.500  0.000
Co  0.750  0.250  0.500

No. 3
A plane-wave DFT calculation with GGA-PBE was carried out for a relaxed TaCoRu crystal.

Output
energy of formation: 0.029 eV/atom
ρ: 13.18 g/cm³
uncorrected energy: -28.1 eV/cell
spin magnetization: 1.58 μB per formula unit

Lattice parameters (Å, degrees): 5.938 5.938 2.768 76.53 76.51 26.96
Last column: magnetic moment on the atom in μB.
Fractional positions:
Ta  0.661  0.661  0.339  0.07
Co  0.992  0.992  0.008  1.12
Ru  0.347  0.347  0.653  0.39